# LiMn6O4F8 | the Alexandria database | GGA+U | relaxed
# Size of the total moment in μB per atom: 1.421
# Energy above the lowest structure with this stoichiometry in eV/f.u.: 0.476
data_LiMn6O4F8
_chemical_formula_sum 'Li1 Mn6 O4 F8'
_symmetry_space_group_name_H-M 'P 1'
_symmetry_Int_Tables_number 1
_cell_length_a 5.020
_cell_length_b 5.766
_cell_length_c 8.017
_cell_angle_alpha 85.83
_cell_angle_beta 87.30
_cell_angle_gamma 87.23
loop_
_symmetry_equiv_pos_as_xyz
'x,y,z'
loop_
_atom_site_label
_atom_site_fract_x
_atom_site_fract_y
_atom_site_fract_z
Li1 0.000 0.000 0.000
Mn1 0.007 0.380 0.179
Mn2 0.478 0.861 0.176
Mn3 0.482 0.169 0.828
Mn4 0.544 0.525 0.494
Mn5 0.947 0.022 0.505
Mn6 0.958 0.637 0.796
O1 0.307 0.139 0.074
O2 0.661 0.570 0.266
O3 0.670 0.215 0.593
O4 0.782 0.741 0.582
F1 0.145 0.979 0.757
F2 0.152 0.306 0.421
F3 0.169 0.679 0.055
F4 0.264 0.831 0.404
F5 0.330 0.501 0.722
F6 0.685 0.850 0.942
F7 0.806 0.048 0.240
F8 0.832 0.334 0.933